An optimized crystal structure of Ac2MgAgO5, computed with PBE.

```
18
Lattice="6.065 0.000 0.000 0.000 7.076 0.000 0.000 0.000 7.076" Properties=species:S:1:pos:R:3 pbc="T T T"
O 4.602 2.460 1.078
O 4.602 5.998 2.460
O 1.463 4.616 5.998
O 1.463 5.998 2.460
O 1.463 2.460 1.078
O 4.602 1.078 4.616
O 3.032 3.538 3.538
O 3.032 0.000 0.000
O 4.602 4.616 5.998
O 1.463 1.078 4.616
Ac 3.032 2.330 5.868
Ac 3.032 5.868 4.746
Ac 3.032 1.208 2.330
Ac 3.032 4.746 1.208
Mg 0.000 0.000 0.000
Mg 0.000 3.538 3.538
Ag 0.000 3.538 0.000
Ag 0.000 0.000 3.538
```

Output
Its crystal system is tetragonal. Its energy relative to the elements, uncorrected is -1.915 eV/atom. The symmetry is P4/mbm. The total energy is -6.076 eV per atom.